VASP calculation (SCAN) on a PBEsol-optimized structure of Nb2AlSn.

POSCAR file:
```
Nb2AlSn
1.0
4.656 0.000 0.000
2.328 4.033 0.000
2.328 1.344 3.802
Nb Sn Al
2 1 1
Direct
0.250 0.250 0.250 Nb
0.750 0.750 0.750 Nb
0.500 0.500 0.500 Sn
0.000 0.000 0.000 Al
```

Raw total energy = -27.433 eV/atom
Space-group type = Fm-3m
D(E_F) = 4.33 states/eV/cell


VASP calculation (SCAN) on a PBEsol-optimized structure of Nb3AlV3Sn.

POSCAR file:
```
Nb3AlV3Sn
1.0
-2.298 2.509 -3.720
-4.017 0.549 2.996
2.031 4.263 1.764
Nb V Al Sn
3 3 1 1
Direct
0.004 0.503 0.739 Nb
0.503 0.739 0.004 Nb
0.739 0.004 0.503 Nb
0.982 0.512 0.255 V
0.512 0.255 0.982 V
0.255 0.982 0.512 V
0.491 0.491 0.491 Al
0.013 0.013 0.013 Sn
```

Raw total energy = -24.604 eV/atom
Space-group type = R3
D(E_F) = 7.88 states/eV/cell


VASP calculation (SCAN) on a PBEsol-optimized structure of Nb2AlZnSn.

POSCAR file:
```
Nb2AlZnSn
1.0
-4.030 -1.575 -1.597
1.529 -4.778 0.853
-1.946 0.216 4.697
Zn Nb Sn Al
1 2 1 1
Direct
0.500 0.000 0.000 Zn
0.000 0.000 0.500 Nb
0.000 0.500 0.000 Nb
0.000 0.000 0.000 Sn
0.500 0.500 0.500 Al
```

Raw total energy = -23.313 eV/atom
Space-group type = P4/mmm
D(E_F) = 4.28 states/eV/cell


VASP calculation (SCAN) on a PBEsol-optimized structure of Sr2NbAl.

POSCAR file:
```
Sr2NbAl
1.0
6.068 0.000 0.000
3.034 6.118 0.000
3.034 0.000 6.118
Sr Nb Al
4 2 2
Direct
0.875 0.993 0.507 Sr
0.375 0.007 0.493 Sr
0.618 0.507 0.007 Sr
0.132 0.493 0.993 Sr
0.000 0.000 0.000 Nb
0.750 0.500 0.500 Nb
0.500 0.000 0.000 Al
0.250 0.500 0.500 Al
```

Raw total energy = -20.543 eV/atom
Space-group type = I-42d
D(E_F) = 5.77 states/eV/cell


VASP calculation (SCAN) on a PBEsol-optimized structure of TaNb2Al2.

POSCAR file:
```
TaNb2Al2
1.0
-2.492 2.385 0.259
-4.804 -5.019 -0.007
0.372 -0.365 6.928
Nb Al Ta
4 4 2
Direct
0.500 0.175 0.675 Nb
0.500 0.675 0.825 Nb
0.500 0.825 0.325 Nb
0.500 0.325 0.175 Nb
0.000 0.374 0.874 Al
0.000 0.874 0.626 Al
0.000 0.626 0.126 Al
0.000 0.126 0.374 Al
0.000 0.000 0.000 Ta
0.000 0.500 0.500 Ta
```

Raw total energy = -29.993 eV/atom
Space-group type = P4/mbm
D(E_F) = 3.78 states/eV/cell


VASP calculation (SCAN) on a PBEsol-optimized structure of Ti2NbAlTc.

POSCAR file:
```
Ti2NbAlTc
1.0
4.457 0.000 0.000
0.000 4.457 0.000
0.000 0.000 4.700
Nb Al Tc Ti
1 1 1 2
Direct
0.000 0.000 0.500 Nb
0.000 0.000 0.000 Al
0.500 0.500 0.500 Tc
0.000 0.500 0.000 Ti
0.500 0.000 0.000 Ti
```

Raw total energy = -20.360 eV/atom
Space-group type = P4/mmm
D(E_F) = 5.98 states/eV/cell